Computed, not measured: an optimized crystal structure of CsMo3O9 at the PBE+U level of DFT.

- Theoretical density: 2.7 Mg/m³
- Excess energy over the best structure of this formula in the dataset: 0.0829 eV/atom

Cell: 8.8287 8.8287 9.1821 Å, 90.00 90.00 105.38°
With the nearest neighbours (Å) after each atom.
Positions (direct):
Cs (0.1244, 0.1244, 0.0000)  8 O 3.11-3.33
Cs (0.8756, 0.8756, 0.5000)  8 O 3.11-3.33
Mo (0.2547, 0.2547, 0.5000)  4 O 1.74-1.87
Mo (0.3082, 0.6871, 0.9537)  3 O 1.74-1.91
Mo (0.3129, 0.6918, 0.5463)  3 O 1.74-1.91
Mo (0.6871, 0.3082, 0.0463)  3 O 1.74-1.91
Mo (0.6918, 0.3129, 0.4537)  3 O 1.74-1.91
Mo (0.7453, 0.7453, 0.0000)  4 O 1.74-1.87
O (0.1463, 0.1703, 0.3487)  1 Mo 1.74
O (0.1703, 0.1463, 0.6513)  1 Mo 1.74
O (0.1994, 0.7939, 0.4536)  1 Mo 1.74
O (0.2061, 0.8006, 0.0464)  1 Mo 1.74
O (0.2432, 0.4892, 0.0010)  1 Mo 1.74
O (0.2457, 0.4637, 0.5167)  2 Mo 1.87-1.96
O (0.2824, 0.7176, 0.7500)  2 Mo 1.91
O (0.4637, 0.2457, 0.4833)  2 Mo 1.87-1.96
O (0.4892, 0.2432, 0.9990)  1 Mo 1.74
O (0.5108, 0.7568, 0.4990)  1 Mo 1.74
O (0.5363, 0.7543, 0.9833)  2 Mo 1.87-1.96
O (0.7176, 0.2824, 0.2500)  2 Mo 1.91
O (0.7543, 0.5363, 0.0167)  2 Mo 1.87-1.96
O (0.7568, 0.5108, 0.5010)  1 Mo 1.74
O (0.7939, 0.1994, 0.5464)  1 Mo 1.74
O (0.8006, 0.2061, 0.9536)  1 Mo 1.74
O (0.8297, 0.8537, 0.1513)  1 Mo 1.74
O (0.8537, 0.8297, 0.8487)  1 Mo 1.74